{"formula": "CeScPb2", "functional": "GGA-PBE", "state": "optimized geometry", "formation_enthalpy_0k_mev_per_atom": -326, "volume_a3_per_atom": 28.0, "e_tot_ry_per_atom": -0.3856, "m_tot_mub_per_cell": 2.6, "lattice_angstrom": [[3.440, 0.000, -0.975], [0.000, 6.966, 0.000], [0.736, 0.000, 9.153]], "species": ["Ce", "Ce", "Sc", "Sc", "Pb", "Pb", "Pb", "Pb"], "frac_coords": [[0.994, 0.750, 0.988], [0.006, 0.250, 0.012], [0.236, 0.750, 0.471], [0.764, 0.250, 0.529], [0.629, 0.991, 0.258], [0.371, 0.491, 0.742], [0.629, 0.509, 0.258], [0.371, 0.009, 0.742]]}

---

{"formula": "CeScPb", "functional": "GGA-PBE", "state": "optimized geometry", "de_polymorph_mev_per_atom": 245, "formation_enthalpy_0k_mev_per_atom": -147, "volume_a3_per_atom": 28.2, "e_tot_ry_per_atom": -0.4021, "m_tot_mub_per_cell": 2.5, "lattice_angstrom": [[3.862, 0.000, 0.000], [0.000, 3.862, 0.000], [-1.931, -1.931, 5.677]], "species": ["Pb", "Sc", "Ce"], "frac_coords": [[0.968, 0.968, 0.936], [0.596, 0.596, 0.191], [0.287, 0.287, 0.573]]}

---

{"formula": "CeScPb", "functional": "GGA-PBE", "state": "optimized geometry", "de_polymorph_mev_per_atom": 196, "formation_enthalpy_0k_mev_per_atom": -195, "volume_a3_per_atom": 28.2, "e_tot_ry_per_atom": -0.4057, "m_tot_mub_per_cell": 2.3, "lattice_angstrom": [[-3.570, 0.302, -0.421], [-0.649, -4.705, 2.132], [0.003, 4.245, 3.014]], "species": ["Pb", "Sc", "Ce"], "frac_coords": [[0.834, 0.667, 0.333], [0.833, 0.000, 0.000], [0.333, 0.333, 0.667]]}

---

{"formula": "Ce2ScPb2", "functional": "GGA-PBE", "state": "optimized geometry", "de_polymorph_mev_per_atom": 0, "formation_enthalpy_0k_mev_per_atom": -374, "volume_a3_per_atom": 29.4, "e_tot_ry_per_atom": -0.4040, "m_tot_mub_per_cell": 2.5, "lattice_angstrom": [[4.374, 0.000, 0.000], [0.000, 8.194, 0.000], [0.000, 0.000, 8.194]], "species": ["Ce", "Ce", "Ce", "Ce", "Sc", "Sc", "Pb", "Pb", "Pb", "Pb"], "frac_coords": [[0.500, 0.121, 0.621], [0.500, 0.621, 0.879], [0.500, 0.879, 0.379], [0.500, 0.379, 0.121], [0.000, 0.000, 0.000], [0.000, 0.500, 0.500], [0.000, 0.326, 0.826], [0.000, 0.826, 0.674], [0.000, 0.674, 0.174], [0.000, 0.174, 0.326]]}

---

{"formula": "Ce4ScPb", "functional": "GGA-PBE", "state": "optimized geometry", "formation_enthalpy_0k_mev_per_atom": -118, "volume_a3_per_atom": 25.5, "e_tot_ry_per_atom": -0.4224, "m_tot_mub_per_cell": 0.0, "lattice_angstrom": [[-0.354, 4.899, -2.192], [-6.214, -0.441, 0.416], [-2.816, 3.524, 8.531]], "species": ["Ce", "Ce", "Ce", "Ce", "Ce", "Ce", "Ce", "Ce", "Sc", "Sc", "Pb", "Pb"], "frac_coords": [[0.786, 0.271, 0.412], [0.749, 0.152, 0.736], [0.286, 0.182, 0.588], [0.249, 0.388, 0.264], [0.214, 0.729, 0.588], [0.714, 0.818, 0.412], [0.251, 0.848, 0.264], [0.751, 0.612, 0.736], [0.250, 0.790, 0.921], [0.750, 0.210, 0.079], [0.250, 0.291, 0.917], [0.750, 0.709, 0.083]]}

---

{"formula": "Ce2ScPb2", "functional": "GGA-PBE", "state": "optimized geometry", "de_polymorph_mev_per_atom": 12, "formation_enthalpy_0k_mev_per_atom": -362, "volume_a3_per_atom": 29.7, "e_tot_ry_per_atom": -0.4031, "m_tot_mub_per_cell": 5.0, "lattice_angstrom": [[5.131, 0.000, 0.000], [0.000, 6.445, 0.000], [-2.565, 0.000, 8.967]], "species": ["Ce", "Ce", "Ce", "Ce", "Sc", "Sc", "Pb", "Pb", "Pb", "Pb"], "frac_coords": [[0.000, 0.727, 0.000], [0.802, 0.477, 0.603], [0.198, 0.977, 0.397], [0.000, 0.227, 0.000], [0.403, 0.977, 0.806], [0.597, 0.477, 0.194], [0.420, 0.477, 0.839], [0.822, 0.977, 0.644], [0.178, 0.477, 0.356], [0.580, 0.977, 0.161]]}

---

{"formula": "CeScPb2", "functional": "GGA-PBE", "state": "optimized geometry", "formation_enthalpy_0k_mev_per_atom": -352, "volume_a3_per_atom": 27.5, "e_tot_ry_per_atom": -0.3875, "m_tot_mub_per_cell": 1.8, "lattice_angstrom": [[-3.731, 2.257, -1.067], [-0.567, -2.834, -4.014], [-2.692, -3.202, 2.640]], "species": ["Pb", "Pb", "Sc", "Ce"], "frac_coords": [[0.000, 0.000, 0.500], [0.000, 0.500, 0.000], [0.500, 0.000, 0.000], [0.500, 0.500, 0.500]]}

---

{"formula": "Ce2ScPb3", "functional": "GGA-PBE", "state": "optimized geometry", "de_polymorph_mev_per_atom": 94, "formation_enthalpy_0k_mev_per_atom": -272, "volume_a3_per_atom": 30.8, "e_tot_ry_per_atom": -0.3792, "m_tot_mub_per_cell": 2.3, "lattice_angstrom": [[-2.235, -5.420, 2.508], [5.782, 1.486, 8.365], [-4.552, 5.196, -0.933]], "species": ["Ce", "Ce", "Ce", "Ce", "Sc", "Sc", "Pb", "Pb", "Pb", "Pb", "Pb", "Pb"], "frac_coords": [[0.676, 0.588, 0.351], [0.675, 0.088, 0.351], [0.325, 0.912, 0.649], [0.324, 0.412, 0.649], [0.001, 0.750, 0.000], [0.999, 0.250, 0.000], [0.499, 0.250, 0.000], [0.501, 0.750, 0.000], [0.147, 0.074, 0.295], [0.852, 0.426, 0.705], [0.148, 0.574, 0.295], [0.853, 0.926, 0.705]]}

---

{"formula": "Ce3Sc2Pb6", "functional": "GGA-PBE", "state": "optimized geometry", "formation_enthalpy_0k_mev_per_atom": -109, "volume_a3_per_atom": 33.0, "e_tot_ry_per_atom": -0.3602, "m_tot_mub_per_cell": 2.8, "lattice_angstrom": [[5.719, 0.000, 0.000], [0.000, 5.719, 0.000], [-2.860, -2.860, 11.092]], "species": ["Ce", "Ce", "Ce", "Sc", "Sc", "Pb", "Pb", "Pb", "Pb", "Pb", "Pb"], "frac_coords": [[0.000, 0.000, 0.000], [0.846, 0.846, 0.691], [0.154, 0.154, 0.309], [0.428, 0.428, 0.856], [0.572, 0.572, 0.144], [0.078, 0.578, 0.156], [0.578, 0.078, 0.156], [0.922, 0.422, 0.844], [0.422, 0.922, 0.844], [0.702, 0.702, 0.403], [0.298, 0.298, 0.597]]}

---

{"formula": "CeSc3Pb2", "functional": "GGA-PBE", "state": "optimized geometry", "de_polymorph_mev_per_atom": 0, "formation_enthalpy_0k_mev_per_atom": -283, "volume_a3_per_atom": 26.3, "e_tot_ry_per_atom": -0.4170, "m_tot_mub_per_cell": 1.0, "lattice_angstrom": [[4.393, 0.000, 0.000], [0.000, 4.393, 0.000], [0.000, 0.000, 8.190]], "species": ["Ce", "Sc", "Sc", "Sc", "Pb", "Pb"], "frac_coords": [[0.500, 0.500, 0.000], [0.500, 0.000, 0.338], [0.000, 0.500, 0.662], [0.000, 0.000, 0.000], [0.500, 0.000, 0.706], [0.000, 0.500, 0.294]]}

---

{"formula": "CeScPb3", "functional": "GGA-PBE", "state": "optimized geometry", "formation_enthalpy_0k_mev_per_atom": -247, "volume_a3_per_atom": 27.6, "e_tot_ry_per_atom": -0.3620, "m_tot_mub_per_cell": 1.4, "lattice_angstrom": [[5.558, 0.000, 0.000], [0.000, 6.115, -2.028], [-2.779, -5.219, 9.857]], "species": ["Ce", "Ce", "Sc", "Sc", "Pb", "Pb", "Pb", "Pb", "Pb", "Pb"], "frac_coords": [[0.591, 0.193, 0.182], [0.409, 0.807, 0.818], [0.806, 0.998, 0.613], [0.194, 0.002, 0.387], [0.000, 0.749, 0.000], [0.000, 0.251, 0.000], [0.389, 0.262, 0.778], [0.611, 0.738, 0.222], [0.211, 0.559, 0.423], [0.789, 0.441, 0.577]]}

---

{"formula": "Ce2ScPb3", "functional": "GGA-PBE", "state": "optimized geometry", "de_polymorph_mev_per_atom": 0, "formation_enthalpy_0k_mev_per_atom": -366, "volume_a3_per_atom": 28.0, "e_tot_ry_per_atom": -0.3861, "m_tot_mub_per_cell": 6.3, "lattice_angstrom": [[-1.963, 0.267, 4.585], [-3.718, -6.796, 1.524], [7.589, -3.379, 3.445]], "species": ["Ce", "Ce", "Ce", "Ce", "Sc", "Sc", "Pb", "Pb", "Pb", "Pb", "Pb", "Pb"], "frac_coords": [[0.000, 0.000, 0.000], [0.000, 0.000, 0.500], [0.335, 0.331, 0.500], [0.665, 0.669, 0.500], [0.327, 0.346, 0.000], [0.673, 0.654, 0.000], [0.830, 0.340, 0.761], [0.500, 0.000, 0.239], [0.170, 0.660, 0.239], [0.830, 0.340, 0.239], [0.170, 0.660, 0.761], [0.500, 0.000, 0.761]]}

---

{"formula": "CeSc5Pb3", "functional": "GGA-PBE", "state": "optimized geometry", "formation_enthalpy_0k_mev_per_atom": -371, "volume_a3_per_atom": 24.4, "e_tot_ry_per_atom": -0.4251, "m_tot_mub_per_cell": 5.9, "lattice_angstrom": [[-3.597, 3.371, 3.922], [-6.511, 0.236, -6.176], [0.266, -6.683, 5.989]], "species": ["Ce", "Ce", "Sc", "Sc", "Sc", "Sc", "Sc", "Sc", "Sc", "Sc", "Sc", "Sc", "Pb", "Pb", "Pb", "Pb", "Pb", "Pb"], "frac_coords": [[0.000, 0.000, 0.000], [0.500, 0.000, 0.000], [0.000, 0.667, 0.333], [0.500, 0.333, 0.667], [0.000, 0.333, 0.667], [0.500, 0.667, 0.333], [0.750, 0.673, 0.673], [0.750, 0.000, 0.327], [0.750, 0.327, 0.000], [0.250, 0.327, 0.327], [0.250, 0.000, 0.673], [0.250, 0.673, 0.000], [0.750, 0.344, 0.344], [0.750, 0.000, 0.656], [0.750, 0.656, 0.000], [0.250, 0.656, 0.656], [0.250, 0.000, 0.344], [0.250, 0.344, 0.000]]}

---

{"formula": "Ce5ScPb6", "functional": "GGA-PBE", "state": "optimized geometry", "formation_enthalpy_0k_mev_per_atom": -371, "volume_a3_per_atom": 28.8, "e_tot_ry_per_atom": -0.3841, "m_tot_mub_per_cell": 1.0, "lattice_angstrom": [[4.796, 0.450, -1.431], [-1.869, 8.033, -3.739], [0.191, -0.803, 9.142]], "species": ["Sc", "Pb", "Pb", "Pb", "Pb", "Pb", "Pb", "Ce", "Ce", "Ce", "Ce", "Ce"], "frac_coords": [[0.000, 0.000, 0.000], [0.164, 0.410, 0.329], [0.164, 0.918, 0.329], [0.500, 0.242, 0.000], [0.500, 0.758, 0.000], [0.836, 0.082, 0.671], [0.836, 0.590, 0.671], [0.338, 0.838, 0.676], [0.664, 0.664, 0.328], [0.000, 0.500, 0.000], [0.336, 0.336, 0.672], [0.662, 0.162, 0.324]]}

---

{"formula": "CeScPb2", "functional": "GGA-PBE", "state": "optimized geometry", "formation_enthalpy_0k_mev_per_atom": -334, "volume_a3_per_atom": 27.4, "e_tot_ry_per_atom": -0.3862, "m_tot_mub_per_cell": 1.8, "lattice_angstrom": [[3.972, 0.000, 0.000], [0.000, 3.972, 0.000], [0.000, 0.000, 6.952]], "species": ["Pb", "Pb", "Sc", "Ce"], "frac_coords": [[0.000, 0.000, 0.773], [0.000, 0.000, 0.227], [0.500, 0.500, 0.000], [0.500, 0.500, 0.500]]}

---

{"formula": "CeScPb", "functional": "GGA-PBE", "state": "optimized geometry", "de_polymorph_mev_per_atom": 46, "formation_enthalpy_0k_mev_per_atom": -345, "volume_a3_per_atom": 26.9, "e_tot_ry_per_atom": -0.4167, "m_tot_mub_per_cell": 2.5, "lattice_angstrom": [[4.376, 0.000, -0.289], [0.000, 4.692, 0.000], [-1.678, 0.000, 7.965]], "species": ["Ce", "Ce", "Sc", "Sc", "Pb", "Pb"], "frac_coords": [[0.935, 0.250, 0.869], [0.065, 0.750, 0.131], [0.254, 0.250, 0.507], [0.746, 0.750, 0.493], [0.614, 0.250, 0.228], [0.386, 0.750, 0.772]]}

---

{"formula": "CeScPb", "functional": "GGA-PBE", "state": "optimized geometry", "de_polymorph_mev_per_atom": 259, "formation_enthalpy_0k_mev_per_atom": -132, "volume_a3_per_atom": 28.7, "e_tot_ry_per_atom": -0.4011, "m_tot_mub_per_cell": 3.1, "lattice_angstrom": [[-4.847, -0.917, 0.563], [-1.711, -1.743, 4.323], [-3.315, 6.677, 4.231]], "species": ["Sc", "Sc", "Ce", "Ce", "Pb", "Pb"], "frac_coords": [[0.288, 0.288, 0.136], [0.712, 0.712, 0.864], [0.144, 0.144, 0.569], [0.856, 0.856, 0.431], [0.413, 0.413, 0.762], [0.587, 0.587, 0.238]]}

---

{"formula": "CeSc3Pb2", "functional": "GGA-PBE", "state": "optimized geometry", "de_polymorph_mev_per_atom": 25, "formation_enthalpy_0k_mev_per_atom": -258, "volume_a3_per_atom": 27.1, "e_tot_ry_per_atom": -0.4152, "m_tot_mub_per_cell": 4.1, "lattice_angstrom": [[-1.639, -3.448, -2.679], [-4.169, -1.745, 8.858], [-3.347, 5.698, -5.287]], "species": ["Ce", "Ce", "Sc", "Sc", "Sc", "Sc", "Sc", "Sc", "Pb", "Pb", "Pb", "Pb"], "frac_coords": [[0.884, 0.769, 0.930], [0.116, 0.231, 0.070], [0.303, 0.607, 0.505], [0.929, 0.858, 0.552], [0.634, 0.268, 0.776], [0.366, 0.732, 0.224], [0.071, 0.142, 0.448], [0.697, 0.393, 0.495], [0.482, 0.963, 0.795], [0.518, 0.037, 0.205], [0.759, 0.518, 0.212], [0.241, 0.482, 0.788]]}

---

{"formula": "CeSc2Pb2", "functional": "GGA-PBE", "state": "optimized geometry", "formation_enthalpy_0k_mev_per_atom": -294, "volume_a3_per_atom": 28.3, "e_tot_ry_per_atom": -0.4040, "m_tot_mub_per_cell": 1.6, "lattice_angstrom": [[4.574, 0.000, 0.000], [0.000, 4.579, 0.000], [-2.287, -2.289, 6.765]], "species": ["Ce", "Sc", "Sc", "Pb", "Pb"], "frac_coords": [[0.000, 0.000, 0.000], [0.750, 0.250, 0.500], [0.250, 0.750, 0.500], [0.610, 0.610, 0.219], [0.390, 0.390, 0.781]]}

---

{"formula": "Ce5ScPb5", "functional": "GGA-PBE", "state": "optimized geometry", "formation_enthalpy_0k_mev_per_atom": -133, "volume_a3_per_atom": 34.4, "e_tot_ry_per_atom": -0.3742, "m_tot_mub_per_cell": 4.0, "lattice_angstrom": [[-1.047, -3.955, 4.876], [-0.305, -3.591, -7.132], [8.229, 0.394, 2.086]], "species": ["Ce", "Ce", "Ce", "Ce", "Ce", "Sc", "Pb", "Pb", "Pb", "Pb", "Pb"], "frac_coords": [[0.670, 0.341, 0.334], [0.659, 0.318, 0.819], [0.000, 0.000, 0.500], [0.341, 0.682, 0.181], [0.330, 0.659, 0.666], [0.000, 0.000, 0.000], [0.836, 0.671, 0.154], [0.839, 0.678, 0.676], [0.500, 0.000, 0.000], [0.161, 0.322, 0.324], [0.164, 0.329, 0.846]]}